First-principles (PBE) data for a relaxed structure of Lu3Re, as listed in the Alexandria database.

Computed properties:
Energy above the lowest structure with this stoichiometry, kJ/mol of formula units: 0
Total magnetic moment, μB per cell: 0.000
Energy of formation, kJ/mol of atoms: 8.4
Space group: Imm2

Geometry as CIF:
```
data_Lu3Re
_chemical_formula_sum 'Lu3 Re1'
_symmetry_space_group_name_H-M 'P 1'
_symmetry_Int_Tables_number 1
_symmetry_space_group_name_Hall 'P 1'
_cell_length_a 3.5342
_cell_length_b 5.1517
_cell_length_c 6.1534
_cell_angle_alpha 114.75
_cell_angle_beta 106.69
_cell_angle_gamma 90.00
loop_
_atom_site_label
_atom_site_fract_x
_atom_site_fract_y
_atom_site_fract_z
Lu1 0.2972 0.7135 0.5944
Lu2 0.5000 0.4165 0.0000
Lu3 0.7028 0.1191 0.4056
Re1 0.0000 0.9176 0.0000
```

=====

First-principles (PBE) data for a relaxed structure of BaHgMo2, as listed in the Alexandria database.

Computed properties:
Total magnetic moment, μB per cell: 0.000
Energy of formation, kJ/mol of atoms: 113.3
Space group: Pmmm

Geometry as CIF:
```
data_BaHgMo2
_chemical_formula_sum 'Ba1 Hg1 Mo2'
_symmetry_space_group_name_H-M 'P 1'
_symmetry_Int_Tables_number 1
_symmetry_space_group_name_Hall 'P 1'
_cell_length_a 2.9799
_cell_length_b 5.4794
_cell_length_c 5.4236
_cell_angle_alpha 90.00
_cell_angle_beta 90.00
_cell_angle_gamma 90.00
loop_
_atom_site_label
_atom_site_fract_x
_atom_site_fract_y
_atom_site_fract_z
Hg1 0.0000 0.5000 0.5000
Mo1 0.0000 0.0000 0.0000
Mo2 0.5000 0.5000 0.0000
Ba1 0.5000 0.0000 0.5000
```